(1)
A plane-wave DFT calculation with PBE was carried out for a relaxed CdNi3B crystal.

Results
Crystal system = cubic
ΔE_f = 2.213 eV/atom

POSCAR file:
```
CdNi3B
1.0
4.661 0.000 0.000
0.000 4.661 0.000
0.000 0.000 4.661
Ni B Cd
3 1 1
direct
0.000 0.000 0.500
0.000 0.500 0.000
0.500 0.000 0.000
0.500 0.500 0.500
0.000 0.000 0.000
```

***

(2)
A plane-wave DFT calculation with PBE was carried out for a relaxed Cd3NiB crystal.

Results
Crystal system = cubic
ΔE_f = 1.101 eV/atom

POSCAR file:
```
Cd3NiB
1.0
-0.781 1.544 -4.588
0.939 -4.511 -1.678
-4.749 -1.146 0.423
Cd B Ni
3 1 1
direct
0.000 0.500 0.000
0.500 0.000 0.000
0.000 0.000 0.500
0.500 0.500 0.500
0.000 0.000 0.000
```

***

For the records above, the corresponding distance to the lowest polymorph of the same formula values read 2332; 399 meV/atom.
For the records above, the corresponding calculated volume values read 101.2; 117.9 Å³/cell.